Computed, not measured: a relaxed Nb3Cu3N crystal at the PBE level of DFT.

a = 8.160 Å, b = 8.160 Å, c = 8.160 Å
α = 60.00°, β = 60.00°, γ = 60.00°
Atoms (fractional coordinates):
Nb 0.067 0.433 0.067
Nb 0.817 0.183 0.817
Nb 0.183 0.183 0.817
Nb 0.183 0.817 0.817
Nb 0.183 0.817 0.183
Cu 0.625 0.625 0.625
N 0.125 0.625 0.125
Nb 0.817 0.817 0.183
Nb 0.067 0.067 0.433
Nb 0.433 0.067 0.067
Nb 0.817 0.183 0.183
N 0.125 0.125 0.125
Cu 0.831 0.831 0.506
Cu 0.625 0.625 0.125
Cu 0.625 0.125 0.625
Cu 0.419 0.419 0.744
N 0.125 0.125 0.625
Cu 0.419 0.419 0.419
Cu 0.831 0.506 0.831
Cu 0.419 0.744 0.419
Cu 0.506 0.831 0.831
Cu 0.831 0.831 0.831
N 0.625 0.125 0.125
Nb 0.433 0.067 0.433
Nb 0.067 0.433 0.433
Cu 0.744 0.419 0.419
Nb 0.433 0.433 0.067
Cu 0.125 0.625 0.625

Summary:
E_tot (eV/atom): -7.626
Symmetry: Fd-3m
Volume (A^3/atom): 13.72
Formation energy without anion corrections (eV per atom): -0.37
Calculated density (g cm⁻³): 8.4